1.
CsZr2Nb: optimized geometry, PBE.

Summary:
* magnetic moment: 0.0 μB/f.u.
* excess energy over the best structure of this formula in the dataset: 0.000 eV per atom

```
CsZr2Nb
1.0
0.000 3.662 3.662
3.662 0.000 3.662
3.662 3.662 0.000
Zr Nb Cs
2 1 1
Direct
0.750 0.750 0.750 Zr
0.250 0.250 0.250 Zr
0.000 0.000 0.000 Nb
0.500 0.500 0.500 Cs
```



2.
TaFeCoRu: optimized geometry, PBE.

Summary:
* magnetic moment: 1.3 μB/f.u.

```
TaFeCoRu
1.0
-1.437 -2.342 -2.489
-1.141 -2.257 2.783
-3.319 1.870 0.156
Ta Fe Co Ru
1 1 1 1
Direct
0.000 0.000 0.000 Ta
0.000 0.500 0.500 Fe
0.500 0.500 0.000 Co
0.500 0.000 0.500 Ru
```



3.
LiTa2Al: optimized geometry, PBE.

Summary:
* magnetic moment: 0.0 μB/f.u.
* excess energy over the best structure of this formula in the dataset: 0.130 eV per atom

```
LiTa2Al
1.0
2.770 0.000 0.000
0.000 2.770 0.000
0.000 0.000 9.026
Li Ta Al
1 2 1
Direct
0.500 0.500 0.750 Li
0.000 0.000 0.480 Ta
0.000 0.000 0.020 Ta
0.500 0.500 0.250 Al
```



Taking the records one at a time from the top gives ΔH_f (0 K) values of 1204.7; -155.4; 161.3 meV per atom.